Density functional theory data (PBE) for a relaxed HfPaH crystal.

Cell and atoms, written as POSCAR:
```
HfPaH
1.0
3.030 0.000 0.000
0.000 3.030 0.000
-1.515 -1.515 5.641
Pa Hf H
1 1 1
direct
0.026 0.026 0.051 Pa
0.746 0.746 0.492 Hf
0.228 0.228 0.456 H
```

Calculated total energy: -7.484 eV/atom
Energy above the lowest structure with this stoichiometry: 263 meV per atom

Density functional theory data (PBE) for a relaxed HfPaH2 crystal.

Cell and atoms, written as POSCAR:
```
HfPaH2
1.0
-2.646 -1.704 -0.423
-0.027 -2.401 -2.078
0.820 -5.086 3.438
Pa Hf H
1 1 2
direct
0.496 0.496 0.512 Pa
0.671 0.671 0.988 Hf
0.067 0.067 0.799 H
0.266 0.266 0.201 H
```

Calculated total energy: -6.659 eV/atom
Energy above the lowest structure with this stoichiometry: 114 meV per atom

Density functional theory data (PBE) for a relaxed HfPa3H8 crystal.

Cell and atoms, written as POSCAR:
```
HfPa3H8
1.0
5.119 0.000 0.000
0.000 5.119 0.000
0.000 0.000 5.119
H Pa Hf
8 3 1
direct
0.770 0.770 0.770 H
0.230 0.230 0.770 H
0.770 0.230 0.230 H
0.230 0.230 0.230 H
0.770 0.770 0.230 H
0.230 0.770 0.770 H
0.770 0.230 0.770 H
0.230 0.770 0.230 H
0.500 0.000 0.500 Pa
0.500 0.500 0.000 Pa
0.000 0.500 0.500 Pa
0.000 0.000 0.000 Hf
```

Calculated total energy: -5.750 eV/atom

Density functional theory data (PBE) for a relaxed Hf3Pa5H12 crystal.

Cell and atoms, written as POSCAR:
```
Hf3Pa5H12
1.0
-3.511 6.130 8.115
2.363 -9.827 3.690
8.813 4.434 -4.292
Hf H Pa
12 48 20
direct
0.875 0.125 0.250 Hf
0.625 0.375 0.750 Hf
0.250 0.125 0.375 Hf
0.375 0.750 0.625 Hf
0.125 0.250 0.875 Hf
0.625 0.250 0.375 Hf
0.375 0.625 0.250 Hf
0.250 0.625 0.875 Hf
0.750 0.875 0.625 Hf
0.750 0.375 0.125 Hf
0.125 0.875 0.750 Hf
0.875 0.750 0.125 Hf
0.087 0.421 0.853 H
0.587 0.234 0.165 H
0.147 0.069 0.734 H
0.665 0.087 0.234 H
0.079 0.147 0.413 H
0.431 0.165 0.579 H
0.853 0.921 0.087 H
0.647 0.413 0.579 H
0.579 0.913 0.647 H
0.353 0.766 0.431 H
0.921 0.069 0.835 H
0.647 0.234 0.569 H
0.087 0.665 0.734 H
0.266 0.431 0.853 H
0.069 0.921 0.335 H
0.421 0.335 0.569 H
0.766 0.413 0.335 H
0.147 0.079 0.913 H
0.079 0.931 0.165 H
0.734 0.569 0.147 H
0.835 0.569 0.921 H
0.431 0.266 0.353 H
0.587 0.353 0.921 H
0.931 0.853 0.766 H
0.234 0.647 0.069 H
0.421 0.087 0.353 H
0.665 0.579 0.931 H
0.921 0.853 0.587 H
0.335 0.421 0.069 H
0.353 0.587 0.421 H
0.931 0.079 0.665 H
0.913 0.579 0.147 H
0.165 0.431 0.079 H
0.766 0.353 0.931 H
0.569 0.734 0.647 H
0.413 0.647 0.079 H
0.413 0.766 0.835 H
0.266 0.835 0.913 H
0.913 0.335 0.266 H
0.853 0.931 0.266 H
0.734 0.165 0.087 H
0.579 0.665 0.431 H
0.335 0.913 0.766 H
0.069 0.147 0.234 H
0.234 0.587 0.665 H
0.165 0.734 0.587 H
0.835 0.266 0.413 H
0.569 0.835 0.421 H
0.500 0.500 0.000 Pa
0.875 0.625 0.750 Pa
0.500 0.000 0.000 Pa
0.375 0.250 0.125 Pa
0.875 0.250 0.625 Pa
0.000 0.000 0.500 Pa
0.125 0.375 0.250 Pa
0.625 0.875 0.250 Pa
0.250 0.375 0.625 Pa
0.250 0.875 0.125 Pa
0.625 0.750 0.875 Pa
0.000 0.500 0.000 Pa
0.125 0.750 0.375 Pa
0.750 0.625 0.375 Pa
0.000 0.000 0.000 Pa
0.500 0.000 0.500 Pa
0.375 0.125 0.750 Pa
0.000 0.500 0.500 Pa
0.750 0.125 0.875 Pa
0.500 0.500 0.500 Pa
```

Calculated total energy: -6.073 eV/atom

Density functional theory data (PBE) for a relaxed Hf3PaH crystal.

Cell and atoms, written as POSCAR:
```
Hf3PaH
1.0
-1.243 -3.329 -2.842
4.360 -1.204 -0.496
-0.389 -2.859 3.519
H Hf Pa
1 3 1
direct
0.000 0.000 0.000 H
0.500 0.000 0.000 Hf
0.000 0.500 0.000 Hf
0.000 0.000 0.500 Hf
0.500 0.500 0.500 Pa
```

Calculated total energy: -8.526 eV/atom

Density functional theory data (PBE) for a relaxed Hf2PaH crystal.

Cell and atoms, written as POSCAR:
```
Hf2PaH
1.0
3.003 0.000 0.000
0.000 3.003 0.000
0.000 0.000 8.017
Hf Pa H
2 1 1
direct
0.000 0.000 0.816 Hf
0.000 0.000 0.184 Hf
0.500 0.500 0.500 Pa
0.500 0.500 0.000 H
```

Calculated total energy: -7.920 eV/atom
Energy above the lowest structure with this stoichiometry: 173 meV per atom

Density functional theory data (PBE) for a relaxed HfPaH crystal.

Cell and atoms, written as POSCAR:
```
HfPaH
1.0
-0.573 2.699 1.626
-2.432 -1.898 -0.862
0.478 -2.804 4.824
H Hf Pa
1 1 1
direct
0.667 0.333 0.365 H
0.333 0.667 0.574 Hf
0.000 0.000 0.061 Pa
```

Calculated total energy: -7.747 eV/atom
Energy above the lowest structure with this stoichiometry: 0 meV per atom

Density functional theory data (PBE) for a relaxed HfPaH4 crystal.

Cell and atoms, written as POSCAR:
```
HfPaH4
1.0
-0.900 1.098 2.915
2.585 -1.431 1.336
3.032 4.697 -0.833
H Pa Hf
4 1 1
direct
0.501 0.997 0.713 H
0.001 0.497 0.283 H
0.001 0.497 0.713 H
0.501 0.997 0.283 H
0.501 0.497 0.998 Pa
0.001 0.997 0.498 Hf
```

Calculated total energy: -5.895 eV/atom

Density functional theory data (PBE) for a relaxed Hf4H2Pb3 crystal.

Cell and atoms, written as POSCAR:
```
Hf4H2Pb3
1.0
5.927 0.542 0.388
0.990 7.893 0.150
0.990 2.685 7.424
Pb Hf H
6 8 4
direct
0.750 0.503 0.497 Pb
0.071 0.009 0.789 Pb
0.429 0.211 0.991 Pb
0.571 0.789 0.009 Pb
0.929 0.991 0.211 Pb
0.250 0.497 0.503 Pb
0.932 0.370 0.874 Hf
0.084 0.221 0.371 Hf
0.916 0.779 0.629 Hf
0.568 0.126 0.630 Hf
0.068 0.630 0.126 Hf
0.416 0.629 0.779 Hf
0.432 0.874 0.370 Hf
0.584 0.371 0.221 Hf
0.432 0.131 0.407 H
0.068 0.593 0.869 H
0.932 0.407 0.131 H
0.568 0.869 0.593 H
```

Calculated total energy: -6.479 eV/atom

Density functional theory data (PBE) for a relaxed HfHPb crystal.

Cell and atoms, written as POSCAR:
```
HfHPb
1.0
-0.347 1.137 -2.996
5.714 -2.156 -1.480
-3.994 -10.251 -1.695
Pb Hf H
4 4 4
direct
0.917 0.611 0.835 Pb
0.432 0.115 0.863 Pb
0.568 0.885 0.137 Pb
0.083 0.389 0.165 Pb
0.691 0.127 0.383 Hf
0.309 0.873 0.617 Hf
0.691 0.633 0.383 Hf
0.309 0.367 0.617 Hf
0.249 0.623 0.498 H
0.248 0.127 0.496 H
0.752 0.873 0.504 H
0.751 0.377 0.502 H
```

Calculated total energy: -5.759 eV/atom
Energy above the lowest structure with this stoichiometry: 91 meV per atom

Density functional theory data (PBE) for a relaxed HfH2Pb2 crystal.

Cell and atoms, written as POSCAR:
```
HfH2Pb2
1.0
-6.534 -2.163 -0.389
0.300 -2.087 6.564
-1.127 3.211 1.073
H Pb Hf
4 4 2
direct
0.307 0.807 0.000 H
0.693 0.193 0.000 H
0.193 0.307 0.000 H
0.807 0.693 0.000 H
0.157 0.657 0.500 Pb
0.843 0.343 0.500 Pb
0.657 0.843 0.500 Pb
0.343 0.157 0.500 Pb
0.500 0.500 0.000 Hf
0.000 0.000 0.000 Hf
```

Calculated total energy: -4.437 eV/atom
Energy above the lowest structure with this stoichiometry: 82 meV per atom

Density functional theory data (PBE) for a relaxed Hf4HPb crystal.

Cell and atoms, written as POSCAR:
```
Hf4HPb
1.0
-3.465 -4.500 -0.050
1.611 -0.496 6.218
-4.283 6.491 -1.416
Hf H Pb
8 2 2
direct
0.342 0.748 0.886 Hf
0.271 0.920 0.562 Hf
0.658 0.252 0.114 Hf
0.044 0.138 0.886 Hf
0.791 0.642 0.562 Hf
0.209 0.358 0.438 Hf
0.956 0.862 0.114 Hf
0.729 0.080 0.438 Hf
0.886 0.136 0.273 H
0.114 0.864 0.727 H
0.646 0.396 0.792 Pb
0.354 0.604 0.208 Pb
```

Calculated total energy: -7.789 eV/atom

Which calculated density belongs to each record? In order, 13.16; 13.23; 10.89; 11.80; 13.53; 13.53; 13.70; 11.55; 13.10; 11.52; 11.65; 12.42 g cm⁻³.